# 1
{"formula": "ScBi2Pd7", "functional": "PBE", "state": "relaxed", "lattice_angstrom": [[3.7737, -7.6698, 0.0000], [3.7737, 7.6698, 0.0000], [0.0000, 0.0000, 3.7000]], "species": ["Sc", "Bi", "Bi", "Pd", "Pd", "Pd", "Pd", "Pd", "Pd", "Pd"], "fractional_positions": [[0.0000, 0.0000, 0.0000], [0.3190, 0.6810, 0.5000], [0.6810, 0.3190, 0.5000], [0.0938, 0.2774, 0.5000], [0.1924, 0.8076, 0.0000], [0.2774, 0.0938, 0.5000], [0.5000, 0.5000, 0.5000], [0.7226, 0.9062, 0.5000], [0.8076, 0.1924, 0.0000], [0.9062, 0.7226, 0.5000]], "e_tot_ev_per_cell": -52.2, "vol_a3_per_atom": 21.42, "formation_enthalpy_0k_mev_per_atom": -173}

# 2
{"formula": "La2YTl", "functional": "PBE", "state": "relaxed", "lattice_angstrom": [[3.7639, 0.0000, 0.0000], [0.0000, 5.6178, 0.0000], [0.0000, 0.0000, 5.9315]], "species": ["La", "La", "Y", "Tl"], "fractional_positions": [[0.0000, 0.0000, 0.0000], [0.5000, 0.5000, 0.0000], [0.0000, 0.5000, 0.5000], [0.5000, 0.0000, 0.5000]], "e_tot_ev_per_cell": -19.2, "vol_a3_per_atom": 31.35, "formation_enthalpy_0k_mev_per_atom": -129}

# 3
{"formula": "Ac4Mo3N10", "functional": "PBE", "state": "relaxed", "lattice_angstrom": [[-2.0298, 2.0298, 14.7333], [2.0298, -2.0298, 14.7333], [2.0298, 2.0298, -14.7333]], "species": ["Ac", "Ac", "Ac", "Ac", "Mo", "Mo", "Mo", "N", "N", "N", "N", "N", "N", "N", "N", "N", "N"], "fractional_positions": [[0.0678, 0.0678, 0.0000], [0.2008, 0.2008, 0.0000], [0.7992, 0.7992, 0.0000], [0.9322, 0.9322, 0.0000], [0.3602, 0.3602, 0.0000], [0.5000, 0.5000, 0.0000], [0.6398, 0.6398, 0.0000], [0.0000, 0.5000, 0.5000], [0.1383, 0.6383, 0.5000], [0.2907, 0.2907, 0.0000], [0.3617, 0.8617, 0.5000], [0.4310, 0.4310, 0.0000], [0.5000, 0.0000, 0.5000], [0.5690, 0.5690, 0.0000], [0.6383, 0.1383, 0.5000], [0.7093, 0.7093, 0.0000], [0.8617, 0.3617, 0.5000]], "e_tot_ev_per_cell": -146.7, "e_form_raw_ev_per_atom": -0.8514, "vol_a3_per_atom": 14.28}

# 4
{"formula": "ErMg2Sn", "functional": "PBE", "state": "relaxed", "lattice_angstrom": [[1.6548, 0.9554, 11.3085], [-1.6548, 0.9554, 11.3085], [0.0000, -1.9108, 11.3085]], "species": ["Er", "Mg", "Mg", "Sn"], "fractional_positions": [[0.0000, 0.0000, 0.0000], [0.0936, 0.0936, 0.0936], [0.9064, 0.9064, 0.9064], [0.5000, 0.5000, 0.5000]], "e_tot_ev_per_cell": -11.2, "vol_a3_per_atom": 26.82, "formation_enthalpy_0k_mev_per_atom": 144}

# 5
{"formula": "Tm6SbP5", "functional": "PBE", "state": "relaxed", "lattice_angstrom": [[3.4814, -6.0233, 0.0000], [3.4814, 6.0233, 0.0000], [-2.3217, 0.0000, 6.5430]], "species": ["Tm", "Tm", "Tm", "Tm", "Tm", "Tm", "Sb", "P", "P", "P", "P", "P"], "fractional_positions": [[0.0643, 0.4140, 0.7423], [0.2365, 0.2365, 0.2571], [0.4140, 0.0643, 0.7423], [0.5860, 0.9357, 0.2577], [0.7635, 0.7635, 0.7429], [0.9357, 0.5860, 0.2577], [0.5000, 0.5000, 0.0000], [0.0000, 0.0000, 0.5000], [0.1668, 0.8332, 0.0000], [0.3369, 0.6631, 0.5000], [0.6631, 0.3369, 0.5000], [0.8332, 0.1668, 0.0000]], "e_tot_ev_per_cell": -75.8, "e_form_raw_ev_per_atom": -1.4805, "vol_a3_per_atom": 22.87}

# 6
{"formula": "LaZnPCl2", "functional": "PBE", "state": "relaxed", "lattice_angstrom": [[4.7223, 0.0000, 0.0000], [0.0000, 4.7223, 0.0000], [0.0000, 0.0000, 5.1109]], "species": ["La", "Zn", "P", "Cl", "Cl"], "fractional_positions": [[0.0000, 0.0000, 0.0000], [0.5000, 0.5000, 0.5000], [0.5000, 0.5000, 0.0000], [0.0000, 0.5000, 0.5000], [0.5000, 0.0000, 0.5000]], "e_tot_ev_per_cell": -20.0, "e_form_raw_ev_per_atom": -0.9349, "vol_a3_per_atom": 22.79}

# 7
{"formula": "MnHgPb4", "functional": "PBE", "state": "relaxed", "lattice_angstrom": [[0.0000, 4.5488, 4.5488], [4.5488, 0.0000, 4.5488], [4.5488, 4.5488, 0.0000]], "species": ["Mn", "Hg", "Pb", "Pb", "Pb", "Pb"], "fractional_positions": [[0.0000, 0.0000, 0.0000], [0.2500, 0.2500, 0.2500], [0.1236, 0.6255, 0.6255], [0.6255, 0.1236, 0.6255], [0.6255, 0.6255, 0.1236], [0.6255, 0.6255, 0.6255]], "e_tot_ev_per_cell": -21.4, "vol_a3_per_atom": 31.37, "formation_enthalpy_0k_mev_per_atom": 477}

# 8
{"formula": "InSbPb2Au6", "functional": "PBE", "state": "relaxed", "lattice_angstrom": [[2.9355, 1.6948, 17.5165], [-2.9355, 1.6948, 17.5165], [0.0000, -3.3896, 17.5165]], "species": ["In", "In", "Sb", "Sb", "Pb", "Pb", "Pb", "Pb", "Au", "Au", "Au", "Au", "Au", "Au", "Au", "Au", "Au", "Au", "Au", "Au"], "fractional_positions": [[0.0821, 0.0821, 0.0821], [0.9179, 0.9179, 0.9179], [0.0000, 0.0000, 0.0000], [0.5000, 0.5000, 0.5000], [0.2342, 0.2342, 0.2342], [0.3999, 0.3999, 0.3999], [0.6001, 0.6001, 0.6001], [0.7658, 0.7658, 0.7658], [0.1352, 0.1352, 0.6081], [0.1352, 0.6081, 0.1352], [0.2039, 0.7101, 0.7101], [0.2899, 0.2899, 0.7961], [0.2899, 0.7961, 0.2899], [0.3919, 0.8648, 0.8648], [0.6081, 0.1352, 0.1352], [0.7101, 0.2039, 0.7101], [0.7101, 0.7101, 0.2039], [0.7961, 0.2899, 0.2899], [0.8648, 0.3919, 0.8648], [0.8648, 0.8648, 0.3919]], "e_tot_ev_per_cell": -67.3, "e_form_raw_ev_per_atom": 0.0303, "vol_a3_per_atom": 26.14}